DFT (GGA-PBE) results for a relaxed structure of SnGe. Values from VASP.

Cell and atoms, written as Quantum ESPRESSO input:
```
&SYSTEM
  ibrav = 0, nat = 4, ntyp = 2
/
ATOMIC_SPECIES
Ge 72.64 Ge.upf
Sn 118.71 Sn.upf
CELL_PARAMETERS angstrom
4.3778 0.0000 0.0000
-2.1889 3.7913 0.0000
0.0000 0.0000 7.1884
ATOMIC_POSITIONS angstrom
Ge 2.1889 1.2638 6.1354
Sn 2.1889 1.2638 1.6424
Ge 0.0000 2.5275 2.5412
Sn 0.0000 2.5275 5.2366
```

Results
E_form: 0.040 eV/atom
Volume: 119.31 Å³/cell

***

DFT (GGA-PBE) results for a relaxed structure of SnGe. Values from VASP.

Cell and atoms, written as Quantum ESPRESSO input:
```
&SYSTEM
  ibrav = 0, nat = 8, ntyp = 2
/
ATOMIC_SPECIES
Sn 118.71 Sn.upf
Ge 72.64 Ge.upf
CELL_PARAMETERS angstrom
-5.9048 1.6775 4.4625
0.8242 -6.6375 3.5858
2.7158 1.8939 2.8816
ATOMIC_POSITIONS angstrom
Sn 0.9769 -4.2013 5.1836
Ge -3.7366 -1.0017 4.1800
Sn -1.6303 -1.5916 2.5826
Ge -1.3439 -3.9583 3.8683
Ge 0.4546 0.0651 2.8717
Sn -3.3416 1.1352 5.7462
Sn -3.4502 -3.3684 5.4657
Ge -2.8194 -3.1312 8.0581
```

Results
E_form: 0.098 eV/atom
Volume: 252.80 Å³/cell

***

DFT (GGA-PBE) results for a relaxed structure of SnGe. Values from VASP.

Cell and atoms, written as Quantum ESPRESSO input:
```
&SYSTEM
  ibrav = 0, nat = 16, ntyp = 2
/
ATOMIC_SPECIES
Ge 72.64 Ge.upf
Sn 118.71 Sn.upf
CELL_PARAMETERS angstrom
-10.0156 2.1005 5.0940
-4.5902 -9.0267 -5.3030
1.1777 -2.5856 3.3817
ATOMIC_POSITIONS angstrom
Ge -9.5541 -2.0081 4.6764
Ge -7.1756 -0.6473 2.0041
Ge -7.4302 -6.2789 -2.2130
Sn -1.8973 -3.6389 0.7629
Sn -11.5308 -5.8729 2.4098
Ge -10.6931 -3.9279 0.7209
Ge -10.6267 -7.7543 0.6566
Ge -3.8740 -7.5037 -1.5036
Sn -9.6424 -1.8070 1.9765
Sn -6.3409 -8.6634 -1.5311
Sn -9.7891 -5.8092 -1.0324
Sn -4.9634 -5.1192 -2.1854
Sn -7.0872 -0.8484 4.7039
Ge -3.9127 -2.9984 -0.9298
Ge -2.8014 -1.7575 2.5162
Sn -4.8167 -1.1170 0.8235
```

Results
E_form: 0.193 eV/atom
Volume: 577.16 Å³/cell

***

DFT (GGA-PBE) results for a relaxed structure of SnGe. Values from VASP.

Cell and atoms, written as Quantum ESPRESSO input:
```
&SYSTEM
  ibrav = 0, nat = 32, ntyp = 2
/
ATOMIC_SPECIES
Sn 118.71 Sn.upf
Ge 72.64 Ge.upf
CELL_PARAMETERS angstrom
11.8905 0.0000 0.0000
0.0000 12.0961 0.0000
0.0000 0.0000 8.9791
ATOMIC_POSITIONS angstrom
Sn 1.0667 3.0240 6.7343
Sn 10.8238 3.0240 2.2448
Ge 2.9726 11.0348 2.2448
Ge 8.9179 11.0348 6.7343
Ge 8.9179 7.1093 6.7343
Sn 7.0120 3.0240 2.2448
Sn 1.9059 6.0481 4.4895
Ge 8.9179 4.9868 2.2448
Sn 10.8238 9.0721 6.7343
Sn 1.9059 0.0000 0.0000
Sn 4.8785 3.0240 6.7343
Ge 5.9453 1.9627 4.4895
Ge 0.0000 4.0853 4.4895
Sn 1.0667 9.0721 2.2448
Ge 2.9726 7.1093 2.2448
Ge 5.9453 4.0853 0.0000
Sn 9.9846 6.0481 4.4895
Ge 2.9726 4.9868 6.7343
Sn 7.8512 0.0000 4.4895
Sn 4.0394 0.0000 4.4895
Ge 0.0000 8.0108 4.4895
Ge 0.0000 10.1334 0.0000
Sn 4.0394 6.0481 0.0000
Sn 4.8785 9.0721 2.2448
Sn 9.9846 0.0000 0.0000
Sn 7.0120 9.0721 6.7343
Ge 8.9179 1.0613 2.2448
Ge 0.0000 1.9627 0.0000
Ge 5.9453 10.1334 4.4895
Sn 7.8512 6.0481 0.0000
Ge 5.9453 8.0108 0.0000
Ge 2.9726 1.0613 6.7343
```

Results
E_form: 0.270 eV/atom
Volume: 1291.45 Å³/cell

***

DFT (GGA-PBE) results for a relaxed structure of Sn5Ge. Values from VASP.

Cell and atoms, written as Quantum ESPRESSO input:
```
&SYSTEM
  ibrav = 0, nat = 6, ntyp = 2
/
ATOMIC_SPECIES
Sn 118.71 Sn.upf
Ge 72.64 Ge.upf
CELL_PARAMETERS angstrom
3.5485 0.0000 0.0000
0.0000 5.4094 0.0000
0.0000 -2.7047 8.1806
ATOMIC_POSITIONS angstrom
Sn 1.7742 2.7047 5.7546
Sn 1.7742 2.7047 0.0000
Ge 0.0000 0.0000 0.0000
Sn 0.0000 0.0000 5.2731
Sn 1.7742 0.0000 2.4260
Sn 0.0000 2.7047 2.9075
```

Results
Energy relative to the lowest polymorph listed for this composition: 0.007 eV per atom
E_form: 0.111 eV/atom
Volume: 157.03 Å³/cell

***

DFT (GGA-PBE) results for a relaxed structure of SnGe. Values from VASP.

Cell and atoms, written as Quantum ESPRESSO input:
```
&SYSTEM
  ibrav = 0, nat = 12, ntyp = 2
/
ATOMIC_SPECIES
Ge 72.64 Ge.upf
Sn 118.71 Sn.upf
CELL_PARAMETERS angstrom
7.6506 0.0000 0.0000
0.0000 7.6506 0.0000
0.0000 0.0000 7.6506
ATOMIC_POSITIONS angstrom
Ge 0.0000 1.9127 3.8253
Ge 3.8253 0.0000 5.7380
Sn 3.8253 1.9127 0.0000
Sn 3.8253 5.7380 0.0000
Sn 0.0000 3.8253 5.7380
Sn 1.9127 0.0000 3.8253
Ge 5.7380 3.8253 0.0000
Sn 0.0000 3.8253 1.9127
Ge 1.9127 3.8253 0.0000
Ge 0.0000 5.7380 3.8253
Ge 3.8253 0.0000 1.9127
Sn 5.7380 0.0000 3.8253
```

Results
E_form: 0.182 eV/atom
Volume: 447.81 Å³/cell

***

DFT (GGA-PBE) results for a relaxed structure of SnGe3. Values from VASP.

Cell and atoms, written as Quantum ESPRESSO input:
```
&SYSTEM
  ibrav = 0, nat = 4, ntyp = 2
/
ATOMIC_SPECIES
Sn 118.71 Sn.upf
Ge 72.64 Ge.upf
CELL_PARAMETERS angstrom
3.9540 0.0000 0.0000
0.0000 3.9938 0.0000
0.0000 0.0000 5.6194
ATOMIC_POSITIONS angstrom
Sn 0.0000 3.3821 0.0000
Ge 1.9770 1.2836 2.8097
Ge 0.0000 3.2712 2.8097
Ge 1.9770 1.3820 0.0000
```

Results
Energy relative to the lowest polymorph listed for this composition: 0.000 eV per atom
E_form: 0.233 eV/atom
Volume: 88.74 Å³/cell

***

DFT (GGA-PBE) results for a relaxed structure of SnGe. Values from VASP.

Cell and atoms, written as Quantum ESPRESSO input:
```
&SYSTEM
  ibrav = 0, nat = 4, ntyp = 2
/
ATOMIC_SPECIES
Ge 72.64 Ge.upf
Sn 118.71 Sn.upf
CELL_PARAMETERS angstrom
-1.8670 -0.0070 -3.0603
-2.8267 0.5882 1.7232
-1.6714 8.2115 1.0009
ATOMIC_POSITIONS angstrom
Ge -4.2464 5.2425 -0.5708
Ge -2.1188 3.5503 0.2347
Sn -4.4285 7.4908 1.6348
Sn -1.9367 1.3019 -1.9709
```

Results
E_form: 0.182 eV/atom
Volume: 93.34 Å³/cell

***

DFT (GGA-PBE) results for a relaxed structure of SnGe3. Values from VASP.

Cell and atoms, written as Quantum ESPRESSO input:
```
&SYSTEM
  ibrav = 0, nat = 4, ntyp = 2
/
ATOMIC_SPECIES
Ge 72.64 Ge.upf
Sn 118.71 Sn.upf
CELL_PARAMETERS angstrom
4.3995 0.0000 0.0000
0.0000 4.3995 0.0000
0.0000 0.0000 4.3995
ATOMIC_POSITIONS angstrom
Ge 0.0000 2.1998 2.1998
Sn 0.0000 0.0000 0.0000
Ge 2.1998 2.1998 0.0000
Ge 2.1998 0.0000 2.1998
```

Results
Energy relative to the lowest polymorph listed for this composition: 0.072 eV per atom
E_form: 0.305 eV/atom
Volume: 85.16 Å³/cell

***

DFT (GGA-PBE) results for a relaxed structure of SnGe. Values from VASP.

Cell and atoms, written as Quantum ESPRESSO input:
```
&SYSTEM
  ibrav = 0, nat = 16, ntyp = 2
/
ATOMIC_SPECIES
Sn 118.71 Sn.upf
Ge 72.64 Ge.upf
CELL_PARAMETERS angstrom
8.5369 0.0000 0.0000
0.0000 8.5369 0.0000
0.0000 0.0000 8.5369
ATOMIC_POSITIONS angstrom
Sn 5.6374 2.8995 5.6374
Sn 1.3690 7.1679 1.3690
Ge 7.1771 1.3598 7.1771
Sn 7.1679 7.1679 7.1679
Sn 5.6374 5.6374 2.8995
Sn 1.3690 1.3690 7.1679
Ge 2.9086 5.6282 2.9086
Ge 5.6282 2.9086 2.9086
Sn 2.8995 5.6374 5.6374
Sn 2.8995 2.8995 2.8995
Ge 5.6282 5.6282 5.6282
Ge 7.1771 7.1771 1.3598
Ge 1.3598 1.3598 1.3598
Ge 2.9086 2.9086 5.6282
Ge 1.3598 7.1771 7.1771
Sn 7.1679 1.3690 1.3690
```

Results
E_form: 0.258 eV/atom
Volume: 622.15 Å³/cell

***

DFT (GGA-PBE) results for a relaxed structure of SnGe. Values from VASP.

Cell and atoms, written as Quantum ESPRESSO input:
```
&SYSTEM
  ibrav = 0, nat = 12, ntyp = 2
/
ATOMIC_SPECIES
Sn 118.71 Sn.upf
Ge 72.64 Ge.upf
CELL_PARAMETERS angstrom
10.7192 0.0000 0.0000
-5.3596 9.2831 0.0000
0.0000 0.0000 4.4810
ATOMIC_POSITIONS angstrom
Sn 1.3334 3.8315 3.3607
Ge 6.7071 5.4388 1.1202
Ge 6.7162 0.7552 1.1202
Ge -1.3566 8.5279 3.3607
Sn -2.7081 6.2126 3.3607
Sn 8.0677 3.0705 1.1202
Ge 2.6555 3.0891 1.1202
Sn 4.0262 5.4516 1.1202
Ge 2.7041 6.1940 3.3607
Sn 1.3747 8.5221 3.3607
Sn 3.9849 0.7610 1.1202
Ge -1.3475 3.8443 3.3607
```

Results
E_form: 0.185 eV/atom
Volume: 445.89 Å³/cell

***

DFT (GGA-PBE) results for a relaxed structure of Sr2SnGe3. Values from VASP.

Cell and atoms, written as Quantum ESPRESSO input:
```
&SYSTEM
  ibrav = 0, nat = 24, ntyp = 3
/
ATOMIC_SPECIES
Sn 118.71 Sn.upf
Ge 72.64 Ge.upf
Sr 87.62 Sr.upf
CELL_PARAMETERS angstrom
-1.5603 4.4936 0.6851
-6.2217 -1.6687 -3.2249
-7.4271 -5.1715 17.0052
ATOMIC_POSITIONS angstrom
Sn -5.6424 0.3723 9.9924
Sn -3.7176 0.0222 -0.1843
Ge -5.8152 -0.9480 1.4023
Sn -11.4916 -2.3688 14.6497
Ge -3.5382 -0.6943 4.9239
Sr -8.2220 -3.8911 15.2249
Ge -9.3872 -1.0104 10.5329
Sr -8.4668 0.4709 2.9131
Sr -6.3493 0.6570 6.5151
Ge -9.3940 -1.3985 13.0631
Ge -9.3805 -0.3067 5.9324
Ge -7.9620 -1.4945 0.0973
Sr -6.9872 1.5446 -0.7595
Ge -7.2471 -0.8521 14.3681
Ge -5.8220 -1.3361 3.9325
Ge -5.8287 -2.0399 8.5330
Sr -4.6668 1.7851 2.9477
Sr -6.7424 -2.8174 11.5523
Sr -10.5424 -4.1316 11.5177
Sn -9.5668 -2.7188 4.4730
Ge -12.1166 -5.0864 14.1947
Ge -3.0926 2.7398 0.2707
Sr -8.8599 -3.0035 7.9503
Ge -11.6710 -1.6523 9.5415
```

Results
E_form: -0.455 eV/atom
Volume: 666.92 Å³/cell

***

DFT (GGA-PBE) results for a relaxed structure of SrSn2Ge. Values from VASP.

Cell and atoms, written as Quantum ESPRESSO input:
```
&SYSTEM
  ibrav = 0, nat = 4, ntyp = 3
/
ATOMIC_SPECIES
Ge 72.64 Ge.upf
Sn 118.71 Sn.upf
Sr 87.62 Sr.upf
CELL_PARAMETERS angstrom
-2.1257 -4.1659 -1.2187
2.8063 -0.3314 -3.7623
3.1594 -2.3624 2.5646
ATOMIC_POSITIONS angstrom
Ge -1.0629 -2.0830 -0.6093
Sn 1.5797 -1.1812 1.2823
Sn 1.4031 -0.1657 -1.8812
Sr 1.9200 -3.4298 -1.2082
```

Results
E_form: -0.298 eV/atom
Volume: 107.00 Å³/cell

***

DFT (GGA-PBE) results for a relaxed structure of SrSnGe3. Values from VASP.

Cell and atoms, written as Quantum ESPRESSO input:
```
&SYSTEM
  ibrav = 0, nat = 5, ntyp = 3
/
ATOMIC_SPECIES
Sn 118.71 Sn.upf
Sr 87.62 Sr.upf
Ge 72.64 Ge.upf
CELL_PARAMETERS angstrom
5.5635 0.0000 0.0000
0.0000 5.5635 0.0000
0.0000 0.0000 5.5635
ATOMIC_POSITIONS angstrom
Sn 2.7817 2.7817 2.7817
Sr 0.0000 0.0000 0.0000
Ge 0.0000 2.7817 0.0000
Ge 2.7817 0.0000 0.0000
Ge 0.0000 0.0000 2.7817
```

Results
Energy relative to the lowest polymorph listed for this composition: 0.752 eV per atom
E_form: 1.080 eV/atom
Volume: 172.20 Å³/cell

***

DFT (GGA-PBE) results for a relaxed structure of SrSn2Ge. Values from VASP.

Cell and atoms, written as Quantum ESPRESSO input:
```
&SYSTEM
  ibrav = 0, nat = 8, ntyp = 3
/
ATOMIC_SPECIES
Sr 87.62 Sr.upf
Ge 72.64 Ge.upf
Sn 118.71 Sn.upf
CELL_PARAMETERS angstrom
8.4524 0.0000 0.0000
0.0000 8.4524 0.0000
4.2262 4.2262 3.3112
ATOMIC_POSITIONS angstrom
Sr 8.4524 4.2262 1.6556
Ge 4.2262 4.2262 0.0000
Sr 0.0000 0.0000 0.0000
Sn 6.3393 6.8201 2.4834
Sn 5.8586 2.1131 0.8278
Sn 2.5939 6.3393 0.8278
Ge 4.2262 8.4524 1.6556
Sn 10.5656 10.0848 2.4834
```

Results
E_form: -0.285 eV/atom
Volume: 236.56 Å³/cell

***

DFT (GGA-PBE) results for a relaxed structure of SrSnGe3. Values from VASP.

Cell and atoms, written as Quantum ESPRESSO input:
```
&SYSTEM
  ibrav = 0, nat = 5, ntyp = 3
/
ATOMIC_SPECIES
Sn 118.71 Sn.upf
Ge 72.64 Ge.upf
Sr 87.62 Sr.upf
CELL_PARAMETERS angstrom
-4.5613 -1.7841 2.1432
2.7677 -2.3949 3.8969
-0.3404 4.4343 2.9669
ATOMIC_POSITIONS angstrom
Sn 0.0000 0.0000 0.0000
Ge 1.3839 -1.1975 1.9484
Ge -2.2806 -0.8920 1.0716
Ge -0.1702 2.2171 1.4835
Sr -1.0670 0.1276 4.5035
```

Results
Energy relative to the lowest polymorph listed for this composition: 0.000 eV per atom
E_form: 0.329 eV/atom
Volume: 152.80 Å³/cell

***

DFT (GGA-PBE) results for a relaxed structure of SrSn2Ge2. Values from VASP.

Cell and atoms, written as Quantum ESPRESSO input:
```
&SYSTEM
  ibrav = 0, nat = 5, ntyp = 3
/
ATOMIC_SPECIES
Ge 72.64 Ge.upf
Sn 118.71 Sn.upf
Sr 87.62 Sr.upf
CELL_PARAMETERS angstrom
5.0743 0.0000 0.0000
0.0000 5.0743 0.0000
2.5372 2.5372 5.4827
ATOMIC_POSITIONS angstrom
Ge 2.5372 2.5372 1.3305
Ge 5.0743 5.0743 4.1522
Sn 5.0743 2.5372 2.7413
Sr 0.0000 0.0000 0.0000
Sn 2.5372 5.0743 2.7413
```

Results
E_form: -0.208 eV/atom
Volume: 141.17 Å³/cell

***

DFT (GGA-PBE) results for a relaxed structure of SrSn2Ge2. Values from VASP.

Cell and atoms, written as Quantum ESPRESSO input:
```
&SYSTEM
  ibrav = 0, nat = 10, ntyp = 3
/
ATOMIC_SPECIES
Sn 118.71 Sn.upf
Sr 87.62 Sr.upf
Ge 72.64 Ge.upf
CELL_PARAMETERS angstrom
8.1300 0.0000 0.0000
0.0000 8.1300 0.0000
0.0000 0.0000 4.0857
ATOMIC_POSITIONS angstrom
Sn 6.9189 2.8539 2.0429
Sn 2.8539 1.2111 2.0429
Sn 1.2111 5.2761 2.0429
Sr 0.0000 0.0000 0.0000
Ge 7.1745 5.0206 0.0000
Ge 3.1094 7.1745 0.0000
Sn 5.2761 6.9189 2.0429
Ge 5.0206 0.9556 0.0000
Ge 0.9556 3.1094 0.0000
Sr 4.0650 4.0650 0.0000
```

Results
E_form: -0.202 eV/atom
Volume: 270.06 Å³/cell

***

DFT (GGA-PBE) results for a relaxed structure of SrSn2Ge2. Values from VASP.

Cell and atoms, written as Quantum ESPRESSO input:
```
&SYSTEM
  ibrav = 0, nat = 5, ntyp = 3
/
ATOMIC_SPECIES
Sn 118.71 Sn.upf
Ge 72.64 Ge.upf
Sr 87.62 Sr.upf
CELL_PARAMETERS angstrom
-2.8542 -3.9771 1.9704
3.1114 -0.1222 4.2603
-2.8723 1.2365 5.4013
ATOMIC_POSITIONS angstrom
Sn -0.7445 -1.0936 3.7804
Ge -2.7989 -2.3951 5.2435
Sn -1.8706 -1.7693 7.8516
Ge 0.1839 -0.4677 6.3885
Sr 0.0000 0.0000 0.0000
```

Results
E_form: -0.197 eV/atom
Volume: 139.32 Å³/cell

***

DFT (GGA-PBE) results for a relaxed structure of Sr3SnGe2. Values from VASP.

Cell and atoms, written as Quantum ESPRESSO input:
```
&SYSTEM
  ibrav = 0, nat = 24, ntyp = 3
/
ATOMIC_SPECIES
Ge 72.64 Ge.upf
Sn 118.71 Sn.upf
Sr 87.62 Sr.upf
CELL_PARAMETERS angstrom
4.6372 0.0000 0.0000
0.0000 13.2617 0.0000
0.0000 0.0000 12.7319
ATOMIC_POSITIONS angstrom
Ge 3.4779 4.3221 6.6611
Ge 1.1593 0.1114 3.8738
Ge 3.4779 13.1503 8.8581
Ge 1.1593 8.9396 6.0708
Sn 1.1593 2.0632 1.8653
Sr 1.1593 9.1870 2.3407
Sr 3.4779 2.5561 4.0253
Sn 3.4779 11.1985 10.8665
Sr 3.4779 12.5675 1.5730
Sr 3.4779 4.0747 10.3912
Sr 3.4779 8.0666 11.7968
Sr 1.1593 5.9367 4.7930
Sr 3.4779 11.8259 5.4309
Sr 1.1593 0.6942 11.1589
Sr 1.1593 1.4358 7.3010
Sr 1.1593 10.7056 8.7066
Ge 3.4779 6.7423 2.4922
Sn 1.1593 4.5677 8.2313
Sr 1.1593 5.1951 0.9351
Ge 1.1593 6.5194 10.2397
Ge 1.1593 10.9529 12.4367
Ge 3.4779 2.3088 0.2952
Sn 3.4779 8.6940 4.5006
Sr 3.4779 7.3250 7.9389
```

Results
E_form: -0.525 eV/atom
Volume: 782.98 Å³/cell

***

DFT (GGA-PBE) results for a relaxed structure of Sr4Sn5Ge2. Values from VASP.

Cell and atoms, written as Quantum ESPRESSO input:
```
&SYSTEM
  ibrav = 0, nat = 11, ntyp = 3
/
ATOMIC_SPECIES
Sn 118.71 Sn.upf
Ge 72.64 Ge.upf
Sr 87.62 Sr.upf
CELL_PARAMETERS angstrom
3.7680 0.0000 0.0000
0.0000 8.6495 -0.0468
0.0000 -0.9000 10.1715
ATOMIC_POSITIONS angstrom
Sn 0.0000 1.4830 1.6832
Ge 0.0000 -0.2238 6.3326
Sr 1.8840 5.9226 5.4444
Sr 1.8840 0.7457 8.7737
Sr 1.8840 7.0038 1.3510
Sr 1.8840 1.8269 4.6803
Sn 0.0000 4.2600 3.0163
Sn 0.0000 6.2664 8.4415
Sn 0.0000 4.3247 -0.0234
Sn 0.0000 3.4894 7.1085
Ge 0.0000 7.9733 3.7921
```

Results
Energy relative to the lowest polymorph listed for this composition: 0.080 eV per atom
E_form: -0.432 eV/atom
Volume: 331.35 Å³/cell

***

DFT (GGA-PBE) results for a relaxed structure of Sr6Sn2Ge. Values from VASP.

Cell and atoms, written as Quantum ESPRESSO input:
```
&SYSTEM
  ibrav = 0, nat = 9, ntyp = 3
/
ATOMIC_SPECIES
Sr 87.62 Sr.upf
Ge 72.64 Ge.upf
Sn 118.71 Sn.upf
CELL_PARAMETERS angstrom
-2.9245 0.9847 -3.9592
-2.3827 -8.4537 -0.3425
-4.6434 5.6821 4.8430
ATOMIC_POSITIONS angstrom
Sr -2.8580 -4.4599 -2.1802
Ge -3.8444 -7.9595 -2.3220
Sr -5.2788 -2.0822 3.3814
Sr -4.3721 -0.6580 -0.1163
Sr -3.5373 -7.0405 0.8619
Sn -3.1358 -3.7412 1.3858
Sr -4.1839 3.8190 0.8581
Sr -0.5924 -2.1017 -0.0851
Sn -3.8899 0.9709 3.1148
```

Results
E_form: -0.566 eV/atom
Volume: 335.99 Å³/cell